8
Lattice="3.804 0.000 0.000 0.000 3.804 0.000 0.000 0.000 7.515" Properties=species:S:1:pos:R:3 comment="MnMoIr2, single point on PBEsol structure, DFT meta-GGA SCAN" polymorph_energy_mev_per_atom=0 ef_ev_per_atom=-0.396 m_tot_mub_per_cell=5.12 pbc="T T T"
Mn 0.000 0.000 0.000
Mn 1.902 1.902 3.757
Mo 0.000 0.000 3.757
Mo 1.902 1.902 0.000
Ir 0.000 1.902 1.879
Ir 0.000 1.902 5.636
Ir 1.902 0.000 1.879
Ir 1.902 0.000 5.636